[1]
A geometry-optimized PmThRh2 structure. Source: Alexandria via LeMat-Bulk, functional GGA-PBE.

The value obtained for the total energy is -29.887 eV/cell. For the total moment, the calculation gives 0.00 Bohr magnetons per cell. The calculation puts the energy of formation from the pure elements at -0.753 eV/atom.

The space group is P4/mmm (No. 123) and the conventional cell measures 3.561, 3.561 and 7.118 Å, with angles of 90.00, 90.00 and 90.00 degrees. Symmetry generates all atoms from Pm at (0.000, 0.000, 0.000), Th at (0.000, 0.000, 0.500) and Rh at (0.500, 0.500, 0.273).



[2]
A geometry-optimized LiPm4In5 structure. Source: Alexandria via LeMat-Bulk, functional GGA-PBE.

The value obtained for the total energy is -39.214 eV/cell. For the total moment, the calculation gives 0.00 Bohr magnetons per cell. The calculation puts the energy of formation from the pure elements at -0.461 eV/atom.

The space group is P4/mmm (No. 123) and the conventional cell measures 3.599, 3.599 and 20.550 Å, with angles of 90.00, 90.00 and 90.00 degrees. Symmetry generates all atoms from Li at (0.000, 0.000, 0.000), Pm at (0.000, 0.000, 0.181), Pm at (0.000, 0.000, 0.394), In at (0.500, 0.500, 0.076), In at (0.500, 0.500, 0.288) and In at (0.500, 0.500, 0.500).